No. 1
A plane-wave DFT calculation with meta-GGA SCAN was carried out for NiRh2 at its PBEsol-relaxed geometry.

Structure (POSCAR):
```
NiRh2
1.0
2.646 0.000 0.000
0.000 2.646 0.000
0.000 0.000 10.721
Ni Rh
2 4
Direct
0.000 0.000 0.161
0.000 0.000 0.839
0.000 0.000 0.500
0.500 0.500 0.000
0.500 0.500 0.323
0.500 0.500 0.677
```

Summary:
The total magnetization comes out at 0.0 Bohr magnetons per cell. The density of states at the Fermi level comes out at 1.439 states/eV/atom. For the energy of formation, the calculation gives 0.061 eV per atom. For the offset from the most stable computed form, the calculation gives 24 meV/atom.

---

No. 2
A plane-wave DFT calculation with meta-GGA SCAN was carried out for Ta2InNi at its PBEsol-relaxed geometry.

Structure (POSCAR):
```
Ta2InNi
1.0
1.470 0.849 9.042
-1.470 0.849 9.042
0.000 -1.697 9.042
Ta In Ni
2 1 1
Direct
0.000 0.000 0.000
0.243 0.243 0.243
0.483 0.483 0.483
0.739 0.739 0.739
```

Summary:
The total magnetization comes out at 0.0 Bohr magnetons per cell. The density of states at the Fermi level comes out at 1.165 states/eV/atom. For the energy of formation, the calculation gives 0.214 eV per atom.

---

No. 3
A plane-wave DFT calculation with meta-GGA SCAN was carried out for AlIr2Pb at its PBEsol-relaxed geometry.

Structure (POSCAR):
```
AlIr2Pb
1.0
0.000 3.186 3.186
3.186 0.000 3.186
3.186 3.186 0.000
Al Ir Pb
1 2 1
Direct
0.000 0.000 0.000
0.250 0.250 0.250
0.750 0.750 0.750
0.500 0.500 0.500
```

Summary:
The total magnetization comes out at 1.0 Bohr magnetons per cell. The density of states at the Fermi level comes out at 0.365 states/eV/atom. For the energy of formation, the calculation gives 0.105 eV per atom. For the offset from the most stable computed form, the calculation gives 91 meV/atom.

---

No. 4
A plane-wave DFT calculation with meta-GGA SCAN was carried out for LiTcPb2 at its PBEsol-relaxed geometry.

Structure (POSCAR):
```
LiTcPb2
1.0
-2.368 2.368 3.411
2.368 -2.368 3.411
2.368 2.368 -3.411
Li Tc Pb
1 1 2
Direct
0.000 0.000 0.000
0.500 0.500 0.000
0.250 0.750 0.500
0.750 0.250 0.500
```

Summary:
The total magnetization comes out at 0.0 Bohr magnetons per cell. The density of states at the Fermi level comes out at 0.929 states/eV/atom. For the energy of formation, the calculation gives 0.325 eV per atom. For the offset from the most stable computed form, the calculation gives 106 meV/atom.

---

Q: Among the records above, which one has the highest energy of formation?
A: LiTcPb2